## BTe3Mo (PBE)

Data for a relaxed BTe3Mo crystal.

Properties
* E_form (uncorrected): 1325 meV/atom
* M_tot: 0.00 μB/f.u.
* offset from the most stable computed form: 1.11 eV/f.u.
* electronic total energy: -4.0613 eV/atom

abc: 5.300 5.300 5.300
angles: 90.00 90.00 90.00
Fractional positions:
Te (0.000, 0.500, 0.000)
B (0.500, 0.500, 0.500)
Mo (0.000, 0.000, 0.000)
Te (0.000, 0.000, 0.500)
Te (0.500, 0.000, 0.000)



## BTe3Mo (PBE)

Data for a relaxed BTe3Mo crystal.

Properties
* E_form (uncorrected): 1103 meV/atom
* M_tot: 2.44 μB/f.u.
* offset from the most stable computed form: 0.00 eV/f.u.
* electronic total energy: -4.2838 eV/atom

abc: 4.790 4.790 4.790
angles: 90.00 90.00 90.00
Fractional positions:
Te (0.000, 0.500, 0.000)
Mo (0.500, 0.500, 0.500)
B (0.000, 0.000, 0.000)
Te (0.000, 0.000, 0.500)
Te (0.500, 0.000, 0.000)



## B2TeMo (PBE)

Data for a relaxed B2TeMo crystal.

Properties
* E_form (uncorrected): 918 meV/atom
* M_tot: 0.00 μB/f.u.
* electronic total energy: -5.9137 eV/atom

abc: 5.261 5.261 6.127
angles: 64.57 64.57 90.00
Fractional positions:
Mo (0.500, 0.500, 0.000)
Te (0.750, 0.250, 0.500)
B (0.375, 0.404, 0.750)
B (0.596, 0.125, 0.250)
B (0.875, 0.846, 0.750)
B (0.154, 0.625, 0.250)
Mo (0.250, 0.750, 0.500)
Te (0.000, 0.000, 0.000)